[1]
# PBE-GGA NpTiNb, optimized geometry
data_NpTiNb
_chemical_formula_sum 'Np2 Ti2 Nb2'
_space_group_name_H-M_alt 'P 1'
_space_group_IT_number 1
_space_group_name_Hall 'P 1'
_cell_length_a 5.058
_cell_length_b 2.735
_cell_length_c 7.842
_cell_angle_alpha 90.00
_cell_angle_beta 90.00
_cell_angle_gamma 90.00
loop_
_atom_site_label
_atom_site_type_symbol
_atom_site_fract_x
_atom_site_fract_y
_atom_site_fract_z
Np1 Np 0.000 0.000 0.000
Np2 Np 0.500 0.000 0.000
Ti1 Ti 0.250 0.000 0.331
Ti2 Ti 0.750 0.000 0.669
Nb1 Nb 0.250 0.500 0.649
Nb2 Nb 0.750 0.500 0.351
# Distance to the lowest polymorph of the same formula   24 meV/atom
# Energy of formation from the pure elements   360 meV per atom

=====

[2]
# PBE-GGA PaGe3Rh2, optimized geometry
data_PaGe3Rh2
_chemical_formula_sum 'Pa3 Ge9 Rh6'
_space_group_name_H-M_alt 'P 1'
_space_group_IT_number 1
_space_group_name_Hall 'P 1'
_cell_length_a 8.360
_cell_length_b 8.360
_cell_length_c 9.680
_cell_angle_alpha 104.27
_cell_angle_beta 104.27
_cell_angle_gamma 29.29
loop_
_atom_site_label
_atom_site_type_symbol
_atom_site_fract_x
_atom_site_fract_y
_atom_site_fract_z
Pa1 Pa 0.000 0.000 0.000
Pa2 Pa 0.152 0.152 0.694
Pa3 Pa 0.848 0.848 0.306
Ge1 Ge 0.047 0.047 0.353
Ge2 Ge 0.215 0.215 0.356
Ge3 Ge 0.352 0.352 0.090
Ge4 Ge 0.353 0.353 0.819
Ge5 Ge 0.500 0.500 0.500
Ge6 Ge 0.647 0.647 0.181
Ge7 Ge 0.648 0.648 0.910
Ge8 Ge 0.785 0.785 0.644
Ge9 Ge 0.953 0.953 0.647
Rh1 Rh 0.191 0.191 0.069
Rh2 Rh 0.354 0.354 0.533
Rh3 Rh 0.498 0.498 0.779
Rh4 Rh 0.502 0.502 0.221
Rh5 Rh 0.646 0.646 0.467
Rh6 Rh 0.809 0.809 0.931
# Energy of formation from the pure elements   -539 meV per atom

=====

[3]
# PBE-GGA Ga2TeAs2, optimized geometry
data_Ga2TeAs2
_chemical_formula_sum 'Ga2 Te1 As2'
_space_group_name_H-M_alt 'P 1'
_space_group_IT_number 1
_space_group_name_Hall 'P 1'
_cell_length_a 6.079
_cell_length_b 6.079
_cell_length_c 6.079
_cell_angle_alpha 135.27
_cell_angle_beta 135.27
_cell_angle_gamma 65.12
loop_
_atom_site_label
_atom_site_type_symbol
_atom_site_fract_x
_atom_site_fract_y
_atom_site_fract_z
Ga1 Ga 0.120 0.120 0.000
Ga2 Ga 0.880 0.880 0.000
Te1 Te 0.500 0.500 0.000
As1 As 0.250 0.750 0.500
As2 As 0.750 0.250 0.500
# Distance to the lowest polymorph of the same formula   0 meV/atom

=====

[4]
# PBE-GGA KMn2P, optimized geometry
data_KMn2P
_chemical_formula_sum 'K1 Mn2 P1'
_space_group_name_H-M_alt 'P 1'
_space_group_IT_number 1
_space_group_name_Hall 'P 1'
_cell_length_a 3.736
_cell_length_b 3.736
_cell_length_c 6.564
_cell_angle_alpha 90.00
_cell_angle_beta 90.00
_cell_angle_gamma 90.00
loop_
_atom_site_label
_atom_site_type_symbol
_atom_site_fract_x
_atom_site_fract_y
_atom_site_fract_z
K1 K 0.000 0.000 0.000
Mn1 Mn 0.000 0.500 0.488
Mn2 Mn 0.500 0.000 0.488
P1 P 0.500 0.500 0.686
# Energy of formation from the pure elements   163 meV per atom

=====

[5]
# PBE-GGA ZrBeBi2Sb, optimized geometry
data_ZrBeBi2Sb
_chemical_formula_sum 'Zr1 Be1 Bi2 Sb1'
_space_group_name_H-M_alt 'P 1'
_space_group_IT_number 1
_space_group_name_Hall 'P 1'
_cell_length_a 5.826
_cell_length_b 5.826
_cell_length_c 5.409
_cell_angle_alpha 90.00
_cell_angle_beta 90.00
_cell_angle_gamma 90.00
loop_
_atom_site_label
_atom_site_type_symbol
_atom_site_fract_x
_atom_site_fract_y
_atom_site_fract_z
Zr1 Zr 0.000 0.000 0.000
Be1 Be 0.500 0.500 0.000
Bi1 Bi 0.000 0.500 0.500
Bi2 Bi 0.500 0.000 0.500
Sb1 Sb 0.000 0.000 0.500
# E   -3.5305 eV/atom

=====

[6]
# PBE-GGA BeCdHg2, optimized geometry
data_BeCdHg2
_chemical_formula_sum 'Be1 Cd1 Hg2'
_space_group_name_H-M_alt 'P 1'
_space_group_IT_number 1
_space_group_name_Hall 'P 1'
_cell_length_a 3.443
_cell_length_b 3.443
_cell_length_c 9.124
_cell_angle_alpha 90.00
_cell_angle_beta 90.00
_cell_angle_gamma 128.92
loop_
_atom_site_label
_atom_site_type_symbol
_atom_site_fract_x
_atom_site_fract_y
_atom_site_fract_z
Be1 Be 0.000 0.000 0.000
Cd1 Cd 0.000 0.000 0.500
Hg1 Hg 0.500 0.500 0.215
Hg2 Hg 0.500 0.500 0.785
# Distance to the lowest polymorph of the same formula   87 meV/atom
# Energy of formation from the pure elements   317 meV per atom

=====

[7]
# PBE-GGA Y3PRu, optimized geometry
data_Y3PRu
_chemical_formula_sum 'Y3 P1 Ru1'
_space_group_name_H-M_alt 'P 1'
_space_group_IT_number 1
_space_group_name_Hall 'P 1'
_cell_length_a 5.239
_cell_length_b 5.239
_cell_length_c 5.239
_cell_angle_alpha 90.00
_cell_angle_beta 90.00
_cell_angle_gamma 90.00
loop_
_atom_site_label
_atom_site_type_symbol
_atom_site_fract_x
_atom_site_fract_y
_atom_site_fract_z
Y1 Y 0.000 0.000 0.500
Y2 Y 0.000 0.500 0.000
Y3 Y 0.500 0.000 0.000
P1 P 0.500 0.500 0.500
Ru1 Ru 0.000 0.000 0.000
# Energy of formation from the pure elements   -60 meV per atom

=====

[8]
# PBE-GGA P2RuSe, optimized geometry
data_P2RuSe
_chemical_formula_sum 'P2 Ru1 Se1'
_space_group_name_H-M_alt 'P 1'
_space_group_IT_number 1
_space_group_name_Hall 'P 1'
_cell_length_a 3.888
_cell_length_b 3.888
_cell_length_c 4.331
_cell_angle_alpha 90.00
_cell_angle_beta 90.00
_cell_angle_gamma 101.30
loop_
_atom_site_label
_atom_site_type_symbol
_atom_site_fract_x
_atom_site_fract_y
_atom_site_fract_z
P1 P 0.192 0.808 0.000
P2 P 0.808 0.192 0.000
Ru1 Ru 0.000 0.000 0.500
Se1 Se 0.500 0.500 0.500
# E   -5.8091 eV/atom